(1)
Bi2S6O21 after structural relaxation. Source: Alexandria via LeMat-Bulk, functional GGA-PBE.

Values from the calculation:
electronic total energy	-173.303	eV/f.u.
DOS(E_F)	0.00	states/eV per cell

a = 6.699 Å, b = 10.150 Å, c = 12.465 Å
α = 90.74°, β = 96.43°, γ = 93.02°
Element x y z (fractional)
O 0.885 0.018 0.224
O 0.323 0.215 0.167
O 0.001 0.199 0.725
O 0.116 0.372 0.376
O 0.079 0.624 0.470
O 0.732 0.691 0.014
O 0.292 0.691 0.729
O 0.476 0.200 0.436
O 0.232 0.995 0.303
O 0.524 0.800 0.564
O 0.028 0.835 0.560
O 0.252 0.294 0.556
O 0.891 0.083 0.885
O 0.799 0.536 0.226
O 0.484 0.910 0.146
O 0.201 0.464 0.774
O 0.280 0.702 0.135
O 0.972 0.165 0.440
O 0.355 0.065 0.579
O 0.705 0.163 0.026
O 0.921 0.376 0.530
O 0.268 0.309 0.986
O 0.645 0.935 0.421
O 0.109 0.917 0.115
O 0.847 0.580 0.859
O 0.295 0.837 0.974
O 0.479 0.580 0.882
O 0.677 0.785 0.833
O 0.488 0.485 0.307
O 0.748 0.706 0.444
O 0.412 0.746 0.374
O 0.516 0.090 0.854
O 0.884 0.628 0.624
O 0.708 0.309 0.271
O 0.768 0.005 0.697
O 0.588 0.254 0.626
O 0.999 0.801 0.275
O 0.153 0.420 0.141
O 0.521 0.420 0.118
O 0.115 0.982 0.776
O 0.720 0.298 0.865
O 0.512 0.515 0.693
S 0.706 0.668 0.901
S 0.948 0.067 0.761
S 0.044 0.299 0.466
S 0.691 0.167 0.911
S 0.364 0.562 0.761
S 0.956 0.701 0.534
S 0.569 0.804 0.452
S 0.294 0.332 0.099
S 0.309 0.833 0.089
S 0.636 0.438 0.239
S 0.052 0.933 0.239
S 0.431 0.196 0.548
Bi 0.160 0.582 0.285
Bi 0.555 0.084 0.276
Bi 0.840 0.418 0.715
Bi 0.445 0.916 0.724

(2)
SrScPd2 after structural relaxation. Source: Alexandria via LeMat-Bulk, functional GGA-PBE.

Values from the calculation:
DOS(E_F)	1.67	states/eV per cell
E_form	-280	kJ/mol of formula units

a = 3.447 Å, b = 3.447 Å, c = 7.309 Å
α = 90.00°, β = 90.00°, γ = 90.00°
Element x y z (fractional)
Pd 0.000 0.000 0.800
Pd 0.000 0.000 0.200
Sc 0.500 0.500 0.000
Sr 0.500 0.500 0.500

(3)
RbTlSe2 after structural relaxation. Source: Alexandria via LeMat-Bulk, functional GGA-PBE.

Values from the calculation:
electronic total energy	-11.391	eV/f.u.
DOS(E_F)	5.31	states/eV per cell

a = 4.537 Å, b = 4.537 Å, c = 6.435 Å
α = 90.00°, β = 90.00°, γ = 90.00°
Element x y z (fractional)
Tl 0.500 0.500 0.000
Se 0.000 0.000 0.000
Se 0.500 0.500 0.500
Rb 0.000 0.000 0.500